Run i
First-principles (PBE) data for a relaxed RbZrTe4 crystal, as listed in Alexandria.

Volume in Å³/f.u.: 241.4
Fermi-level density of states in states/eV/f.u.: 1.69
M_tot in μB/cell: 0.000
Density in g/cm3: 4.73

Cell lengths 9.1657, 9.1657, 6.4760 Å; angles 90.06, 90.06, 62.57 degrees
Element x y z (fractional)
Rb1 0.1683 0.1683 0.2243
Rb2 0.8317 0.8317 0.7757
Zr1 0.4856 0.4856 0.7375
Zr2 0.5144 0.5144 0.2625
Te1 0.1938 0.5737 0.4105
Te2 0.2490 0.7510 0.0000
Te3 0.2995 0.2995 0.7121
Te4 0.4263 0.8062 0.5895
Te5 0.5737 0.1938 0.4105
Te6 0.7005 0.7005 0.2879
Te7 0.7510 0.2490 0.0000
Te8 0.8062 0.4263 0.5895

Run ii
First-principles (PBE) data for a relaxed RbZrTe4 crystal, as listed in Alexandria.

Volume in Å³/f.u.: 225.9
Fermi-level density of states in states/eV/f.u.: 3.79
M_tot in μB/cell: 0.000
Density in g/cm3: 5.05

Cell lengths 8.8971, 8.8971, 7.2274 Å; angles 101.22, 101.22, 120.79 degrees
Element x y z (fractional)
Rb1 0.1370 0.8630 0.7500
Rb2 0.8630 0.1370 0.2500
Zr1 0.4999 0.5001 0.2500
Zr2 0.5001 0.4999 0.7500
Te1 0.1505 0.3125 0.8691
Te2 0.2895 0.5872 0.4704
Te3 0.3125 0.1505 0.3691
Te4 0.4128 0.7105 0.0296
Te5 0.5872 0.2895 0.9704
Te6 0.6875 0.8495 0.6309
Te7 0.7105 0.4128 0.5296
Te8 0.8495 0.6875 0.1309

Relative energy of each structure, in meV per atom: run i 0; run ii 11.

Run i
First-principles (PBE) data for a relaxed RbThTl2 crystal, as listed in Alexandria.

Volume in Å³/f.u.: 135.6
Fermi-level density of states in states/eV/f.u.: 3.09
M_tot in μB/cell: 0.000
Density in g/cm3: 8.89

Cell lengths 3.6367, 3.6367, 10.2561 Å; angles 90.00, 90.00, 90.00 degrees
Element x y z (fractional)
Rb1 0.0000 0.0000 0.0000
Th1 0.0000 0.0000 0.5000
Tl1 0.5000 0.5000 0.2775
Tl2 0.5000 0.5000 0.7225

Run ii
First-principles (PBE) data for a relaxed RbThTl2 crystal, as listed in Alexandria.

Volume in Å³/f.u.: 132.1
Fermi-level density of states in states/eV/f.u.: 2.52
M_tot in μB/cell: 0.000
Density in g/cm3: 9.13

Cell lengths 6.2164, 6.2164, 3.4182 Å; angles 90.00, 90.00, 90.00 degrees
Element x y z (fractional)
Rb1 0.0000 0.0000 0.0000
Th1 0.5000 0.5000 0.0000
Tl1 0.0000 0.5000 0.5000
Tl2 0.5000 0.0000 0.5000

Relative energy of each structure, in meV per atom: run i 0; run ii 84.

Run i
First-principles (PBE) data for a relaxed RbTi crystal, as listed in Alexandria.

Volume in Å³/f.u.: 59.2
Fermi-level density of states in states/eV/f.u.: 2.70
M_tot in μB/cell: 1.218
Density in g/cm3: 3.74

Cell lengths 3.1958, 6.6953, 3.1960 Å; angles 90.00, 119.99, 90.00 degrees
Element x y z (fractional)
Rb1 0.0000 0.0000 0.0000
Ti1 0.0439 0.5000 0.0605

Run ii
First-principles (PBE) data for a relaxed RbTi crystal, as listed in Alexandria.

Volume in Å³/f.u.: 91.1
Fermi-level density of states in states/eV/f.u.: 2.89
M_tot in μB/cell: 0.002
Density in g/cm3: 2.43

Cell lengths 4.3365, 15.7202, 8.0172 Å; angles 90.00, 90.00, 90.00 degrees
Element x y z (fractional)
Rb1 0.0000 0.0000 0.0000
Rb2 0.0000 0.5000 0.5000
Rb3 0.5000 0.2416 0.7515
Rb4 0.5000 0.2584 0.2515
Rb5 0.5000 0.7416 0.2515
Rb6 0.5000 0.7584 0.7515
Ti1 0.0000 0.0792 0.4814
Ti2 0.0000 0.4208 0.9814
Ti3 0.0000 0.5792 0.9814
Ti4 0.0000 0.9208 0.4814
Ti5 0.5000 0.0000 0.5252
Ti6 0.5000 0.5000 0.0252

Run iii
First-principles (PBE) data for a relaxed RbTi crystal, as listed in Alexandria.

Volume in Å³/f.u.: 90.0
Fermi-level density of states in states/eV/f.u.: 1.94
M_tot in μB/cell: 0.002
Density in g/cm3: 2.46

Cell lengths 12.3633, 4.5496, 12.8062 Å; angles 90.00, 90.00, 90.00 degrees
Element x y z (fractional)
Rb1 0.1140 0.2500 0.2489
Rb2 0.1561 0.2500 0.9129
Rb3 0.3439 0.7500 0.4129
Rb4 0.3860 0.7500 0.7489
Rb5 0.6140 0.2500 0.2511
Rb6 0.6561 0.2500 0.5871
Rb7 0.8439 0.7500 0.0871
Rb8 0.8860 0.7500 0.7511
Ti1 0.0409 0.7500 0.5160
Ti2 0.1298 0.2500 0.5841
Ti3 0.3702 0.7500 0.0841
Ti4 0.4591 0.2500 0.0160
Ti5 0.5409 0.7500 0.9840
Ti6 0.6298 0.2500 0.9159
Ti7 0.8702 0.7500 0.4159
Ti8 0.9591 0.2500 0.4840

Run iv
First-principles (PBE) data for a relaxed RbTi crystal, as listed in Alexandria.

Volume in Å³/f.u.: 86.9
Fermi-level density of states in states/eV/f.u.: 3.05
M_tot in μB/cell: 4.651
Density in g/cm3: 2.55

Cell lengths 10.2977, 9.3079, 6.6983 Å; angles 78.22, 62.23, 39.55 degrees
Element x y z (fractional)
Rb1 0.0393 0.7107 0.0393
Rb2 0.2893 0.9607 0.2893
Rb3 0.7107 0.0393 0.7107
Rb4 0.9607 0.2893 0.9607
Ti1 0.3151 0.3151 0.4349
Ti2 0.4349 0.4349 0.3151
Ti3 0.5651 0.5651 0.6849
Ti4 0.6849 0.6849 0.5651

Relative energy of each structure, in meV per atom: run i 491; run ii 105; run iii 0; run iv 431.

Run i
First-principles (PBE) data for a relaxed RbTi crystal, as listed in Alexandria.

Volume in Å³/f.u.: 93.7
Fermi-level density of states in states/eV/f.u.: 2.68
M_tot in μB/cell: 0.446
Density in g/cm3: 2.36

Cell lengths 4.2176, 17.7484, 7.5106 Å; angles 90.00, 90.00, 90.00 degrees
Element x y z (fractional)
Rb1 0.2500 0.0435 0.2442
Rb2 0.2500 0.4565 0.2442
Rb3 0.2500 0.7500 0.5550
Rb4 0.7500 0.2500 0.4450
Rb5 0.7500 0.5435 0.7558
Rb6 0.7500 0.9565 0.7558
Ti1 0.2500 0.2500 0.9757
Ti2 0.2500 0.6780 0.0848
Ti3 0.2500 0.8220 0.0848
Ti4 0.7500 0.1781 0.9152
Ti5 0.7500 0.3220 0.9152
Ti6 0.7500 0.7500 0.0243

Run ii
First-principles (PBE) data for a relaxed RbTi crystal, as listed in Alexandria.

Volume in Å³/f.u.: 103.7
Fermi-level density of states in states/eV/f.u.: 2.96
M_tot in μB/cell: 6.743
Density in g/cm3: 2.13

Cell lengths 16.2870, 16.2870, 3.1280 Å; angles 90.00, 90.00, 90.00 degrees
Element x y z (fractional)
Rb1 0.0354 0.7492 0.0000
Rb2 0.2492 0.4646 0.5000
Rb3 0.2508 0.0354 0.0000
Rb4 0.4646 0.7508 0.5000
Rb5 0.5354 0.2492 0.5000
Rb6 0.7492 0.9646 0.0000
Rb7 0.7508 0.5354 0.5000
Rb8 0.9646 0.2508 0.0000
Ti1 0.1882 0.2499 0.5000
Ti2 0.2501 0.6882 0.0000
Ti3 0.2499 0.8118 0.5000
Ti4 0.3118 0.2501 0.0000
Ti5 0.6882 0.7499 0.0000
Ti6 0.7501 0.1882 0.5000
Ti7 0.7499 0.3118 0.0000
Ti8 0.8118 0.7501 0.5000

Run iii
First-principles (PBE) data for a relaxed RbTi crystal, as listed in Alexandria.

Volume in Å³/f.u.: 183.3
Fermi-level density of states in states/eV/f.u.: 5.75
M_tot in μB/cell: 12.032
Density in g/cm3: 1.21

Cell lengths 9.0175, 9.0175, 9.0175 Å; angles 90.00, 90.00, 90.00 degrees
Element x y z (fractional)
Rb1 0.0000 0.0000 0.0000
Rb2 0.0000 0.5000 0.5000
Rb3 0.5000 0.0000 0.5000
Rb4 0.5000 0.5000 0.0000
Ti1 0.2500 0.2500 0.2500
Ti2 0.2500 0.7500 0.7500
Ti3 0.7500 0.2500 0.7500
Ti4 0.7500 0.7500 0.2500

Run iv
First-principles (PBE) data for a relaxed RbTi crystal, as listed in Alexandria.

Volume in Å³/f.u.: 107.3
Fermi-level density of states in states/eV/f.u.: 3.76
M_tot in μB/cell: 6.104
Density in g/cm3: 2.06

Cell lengths 7.5927, 7.5927, 7.4463 Å; angles 90.00, 90.00, 90.00 degrees
Element x y z (fractional)
Rb1 0.1681 0.1681 0.0000
Rb2 0.3319 0.6681 0.5000
Rb3 0.6681 0.3319 0.5000
Rb4 0.8319 0.8319 0.0000
Ti1 0.0947 0.0947 0.5000
Ti2 0.4053 0.5947 0.0000
Ti3 0.5947 0.4053 0.0000
Ti4 0.9053 0.9053 0.5000

Relative energy of each structure, in meV per atom: run i 0; run ii 188; run iii 1188; run iv 513.